[1]
Computed, not measured: a relaxed structure of ErCu6 at the PBE-GGA level of DFT.

Values from the calculation:
Energy of formation from the pure elements ... 0.91 eV per atom
SG ... No. 221
VASP energy ... -22.80 eV per cell
Theoretical density ... 5.5 g/cm3

Lattice parameters (Å, degrees): 5.481 5.481 5.481 90.00 90.00 90.00
Sites, in units of the cell vectors:
1 Er 0.000 0.000 0.000
2 Cu 0.197 0.500 0.500
3 Cu 0.500 0.197 0.500
4 Cu 0.500 0.500 0.197
5 Cu 0.500 0.500 0.803
6 Cu 0.500 0.803 0.500
7 Cu 0.803 0.500 0.500

[2]
Computed, not measured: a relaxed structure of Er2Cu3 at the PBE-GGA level of DFT.

Values from the calculation:
Energy of formation from the pure elements ... -0.26 eV per atom
SG ... No. 63
VASP energy ... -45.43 eV per cell
Theoretical density ... 9.1 g/cm3

Lattice parameters (Å, degrees): 12.852 12.852 4.288 90.00 90.00 164.28
Sites, in units of the cell vectors:
1 Er 0.071 0.929 0.750
2 Er 0.204 0.796 0.250
3 Er 0.796 0.204 0.750
4 Er 0.929 0.071 0.250
5 Cu 0.328 0.672 0.250
6 Cu 0.382 0.618 0.750
7 Cu 0.477 0.523 0.750
8 Cu 0.523 0.477 0.250
9 Cu 0.618 0.382 0.250
10 Cu 0.672 0.328 0.750